Entry 1:
Here is a PBEsol-optimized structure of ScHg2Br from Alexandria. Energies are from SCAN.

a = 5.6594 Å, b = 9.4807 Å, c = 3.4243 Å
α = 90.00°, β = 90.00°, γ = 90.00°
With the nearest neighbours (Å) after each atom.
Space group Cmmm (No. 65)
One atom of each set of equivalent atoms:
Sc (0.0000, 0.0000, 0.0000) [2 per cell]  2 Br 2.83
Hg (0.2500, 0.2500, 0.5000) [4 per cell]  2 Hg 2.83
Br (0.0000, 0.5000, 0.0000) [2 per cell]  2 Sc 2.83

Output
- total magnetization (μB/f.u.) = 0.00
- E_form (uncorrected) (kJ/mol of atoms) = -40
- excess energy over the best structure of this formula in the dataset (eV/atom) = 0.000

Entry 2:
Here is a PBEsol-optimized structure of RuPb2Br from Alexandria. Energies are from SCAN.

a = 3.2916 Å, b = 4.2523 Å, c = 14.6973 Å
α = 90.00°, β = 90.00°, γ = 90.00°
With the nearest neighbours (Å) after each atom.
Space group Imm2 (No. 44)
One atom of each set of equivalent atoms:
Ru (0.0000, 0.0000, 0.0000) [2 per cell]  6 Pb 2.72-2.88
Pb (0.0000, 0.0000, 0.4724) [2 per cell]  4 Ru 2.72
Pb (0.0000, 0.5000, 0.6609) [2 per cell]  2 Ru 2.88, 4 Br 3.15
Br (0.0000, 0.5000, 0.2728) [2 per cell]  4 Pb 3.15, 2 Br 3.29

Output
- total magnetization (μB/f.u.) = 0.00
- E_form (uncorrected) (kJ/mol of atoms) = 19

What is the formula in the first record? ScHg2Br